This record from the Alexandria database describes crystalline Ce2HfAs at its relaxed geometry. The functional is GGA-PBE.

The structure in POSCAR format:
```
Ce2HfAs
1.0
-2.007 -0.612 2.362
1.105 -0.568 2.905
-0.851 10.281 4.054
Ce Hf As
2 1 1
direct
0.092 0.092 0.725
0.908 0.908 0.275
0.000 0.000 0.000
0.500 0.500 0.500
```

Values from the calculation:
- ΔH_f (0 K) (eV per atom) = 0.0023
- calculated volume (Å³/atom) = 23.6
- magnetization (μB per atom) = 0.19